Entry from the Alexandria database: a relaxed HfTi3Bi2 crystal (PBE-GGA).

The structure in POSCAR format:
```
HfTi3Bi2
1.0
3.852 0.000 0.000
0.000 7.270 0.000
0.000 0.000 18.286
Hf Ti Bi
4 12 8
direct
0.250 0.936 0.437
0.750 0.564 0.937
0.250 0.436 0.063
0.750 0.064 0.563
0.250 0.866 0.972
0.750 0.634 0.472
0.250 0.366 0.528
0.750 0.134 0.028
0.250 0.037 0.134
0.750 0.463 0.634
0.250 0.537 0.366
0.750 0.963 0.866
0.250 0.633 0.211
0.750 0.867 0.711
0.250 0.133 0.289
0.750 0.367 0.789
0.250 0.742 0.593
0.750 0.758 0.093
0.250 0.242 0.907
0.750 0.258 0.407
0.250 0.682 0.809
0.750 0.818 0.309
0.250 0.182 0.691
0.750 0.318 0.191
```

Values from the calculation:
**Total DFT energy (no corrections)**: -6.9034 eV per atom
**Calculated formation energy**: -3 meV/atom
**Energy above the lowest structure with this stoichiometry**: 70 meV per atom
**SG**: Pnma, No. 62

Entry from the Alexandria database: a relaxed HfTi4Bi crystal (PBE-GGA).

The structure in POSCAR format:
```
HfTi4Bi
1.0
5.504 0.000 0.000
2.752 4.766 0.000
2.752 1.589 4.494
Hf Bi Ti
1 1 4
direct
0.000 0.000 0.000
0.250 0.250 0.250
0.629 0.629 0.114
0.629 0.114 0.629
0.629 0.629 0.629
0.114 0.629 0.629
```

Values from the calculation:
**Total DFT energy (no corrections)**: -7.4434 eV per atom
**Calculated formation energy**: 126 meV/atom
**Energy above the lowest structure with this stoichiometry**: 207 meV per atom
**SG**: F-43m, No. 216

Entry from the Alexandria database: a relaxed HfTi2Bi crystal (PBE-GGA).

The structure in POSCAR format:
```
HfTi2Bi
1.0
-2.698 -2.327 -1.711
1.258 -3.405 2.648
-3.034 1.263 3.065
Hf Bi Ti
1 1 2
direct
0.500 0.000 0.000
0.500 0.500 0.500
0.000 0.000 0.500
0.000 0.500 0.000
```

Values from the calculation:
**Total DFT energy (no corrections)**: -7.4555 eV per atom
**Calculated formation energy**: -49 meV/atom
**SG**: P4/mmm, No. 123

Entry from the Alexandria database: a relaxed HfTi2Bi crystal (PBE-GGA).

The structure in POSCAR format:
```
HfTi2Bi
1.0
-0.341 -3.057 -1.037
1.526 -0.978 -2.693
7.837 -3.923 3.906
Hf Ti Bi
1 2 1
direct
0.500 0.500 0.500
0.085 0.085 0.746
0.249 0.249 0.254
0.667 0.667 0.000
```

Values from the calculation:
**Total DFT energy (no corrections)**: -7.2565 eV per atom
**Calculated formation energy**: 150 meV/atom
**SG**: R3m, No. 160